# 1
8
Lattice="3.1073 0.0000 0.0000 0.0000 4.3104 0.0000 0.0000 0.0000 12.0957" Properties=species:S:1:pos:R:3 comment="CoIrPb2 PBE optimized geometry" total_magnetization_mub_per_cell=2.54 relative_energy_kj_per_mol_atoms=16.65 pbc="T T T"
Co 0.0000 0.0000 0.0000
Co 1.5536 2.1552 6.0478
Ir 0.0000 2.1552 8.1453
Ir 1.5536 0.0000 2.0974
Pb 0.0000 0.0000 6.2126
Pb 0.0000 2.1552 3.4419
Pb 1.5536 0.0000 9.4897
Pb 1.5536 2.1552 0.1647

***

# 2
6
Lattice="0.0000 4.3420 4.3420 4.3420 0.0000 4.3420 4.3420 4.3420 0.0000" Properties=species:S:1:pos:R:3 comment="CoIrPb4 PBE optimized geometry" total_magnetization_mub_per_cell=2.06 final_energy_ev_per_atom=-3.8887 pbc="T T T"
Co 0.0000 0.0000 0.0000
Ir 6.5130 6.5130 6.5130
Pb 3.2603 3.2603 3.2603
Pb 5.4237 5.4237 3.2603
Pb 5.4237 3.2603 5.4237
Pb 3.2603 5.4237 5.4237

***

# 3
8
Lattice="5.7340 0.0000 0.0000 0.0000 7.4750 0.0000 0.0000 0.0000 2.9817" Properties=species:S:1:pos:R:3 comment="CoIr2Pb PBE optimized geometry" total_magnetization_mub_per_cell=3.39 final_energy_ev_per_atom=-6.5927 pbc="T T T"
Co 0.0000 0.0000 0.0000
Co 2.8670 3.7375 0.0000
Ir 1.4335 1.8687 1.4908
Ir 1.4335 5.6062 1.4908
Ir 4.3005 1.8687 1.4908
Ir 4.3005 5.6062 1.4908
Pb 0.0000 3.7375 0.0000
Pb 2.8670 0.0000 0.0000

***

# 4
16
Lattice="4.0063 0.0000 0.0000 0.0000 4.0063 0.0000 0.0000 0.0000 17.9151" Properties=species:S:1:pos:R:3 comment="CoIr2Pb PBE optimized geometry" total_magnetization_mub_per_cell=8.32 final_energy_ev_per_atom=-6.4557 pbc="T T T"
Co 0.0000 0.0000 0.0000
Co 0.0000 2.0032 4.4788
Co 2.0032 0.0000 13.4363
Co 2.0032 2.0032 8.9575
Ir 0.7613 1.0016 2.2394
Ir 1.0016 2.7645 6.7182
Ir 1.0016 3.2450 15.6757
Ir 1.2419 1.0016 11.1969
Ir 2.7645 3.0048 11.1969
Ir 3.0048 0.7613 15.6757
Ir 3.0048 1.2419 6.7182
Ir 3.2450 3.0048 2.2394
Pb 0.0000 0.0000 8.9575
Pb 0.0000 2.0032 13.4363
Pb 2.0032 0.0000 4.4788
Pb 2.0032 2.0032 0.0000

***

# 5
8
Lattice="3.9144 0.0000 0.0000 0.0000 3.9144 0.0000 0.0000 0.0000 9.9861" Properties=species:S:1:pos:R:3 comment="CoIrPb2 PBE optimized geometry" total_magnetization_mub_per_cell=0.29 relative_energy_kj_per_mol_atoms=32.44 pbc="T T T"
Co 0.0000 0.0000 0.0000
Co 1.9572 1.9572 4.9930
Ir 0.0000 1.9572 7.4895
Ir 1.9572 0.0000 2.4965
Pb 0.0000 0.0000 4.9930
Pb 0.0000 1.9572 2.4965
Pb 1.9572 0.0000 7.4895
Pb 1.9572 1.9572 0.0000

***

# 6
12
Lattice="3.3139 0.0000 0.0000 -1.6570 2.8700 0.0000 0.0000 0.0000 24.6089" Properties=species:S:1:pos:R:3 comment="CoIrPb2 PBE optimized geometry" total_magnetization_mub_per_cell=3.54 relative_energy_kj_per_mol_atoms=30.87 pbc="T T T"
Co 0.0000 0.0000 0.0000
Co 0.0000 1.9133 16.4059
Co 1.6570 0.9567 8.2030
Ir 0.0000 0.0000 12.3044
Ir 0.0000 1.9133 4.1015
Ir 1.6570 0.9567 20.5074
Pb 0.0000 0.0000 6.2304
Pb 0.0000 0.0000 18.3785
Pb 0.0000 1.9133 10.1756
Pb 0.0000 1.9133 22.6363
Pb 1.6570 0.9567 1.9726
Pb 1.6570 0.9567 14.4333

***

# 7
12
Lattice="2.9263 0.0000 0.0000 -1.4631 2.5342 0.0000 0.0000 0.0000 27.0795" Properties=species:S:1:pos:R:3 comment="CoIr2Pb PBE optimized geometry" total_magnetization_mub_per_cell=8.36 final_energy_ev_per_atom=-6.5445 pbc="T T T"
Co 0.0000 0.0000 0.0000
Co 0.0000 1.6895 18.0530
Co 1.4631 0.8447 9.0265
Ir 0.0000 0.0000 7.0960
Ir 0.0000 0.0000 19.9834
Ir 0.0000 1.6895 10.9570
Ir 0.0000 1.6895 25.1490
Ir 1.4631 0.8447 1.9304
Ir 1.4631 0.8447 16.1225
Pb 0.0000 0.0000 13.5397
Pb 0.0000 1.6895 4.5133
Pb 1.4631 0.8447 22.5662

***

# 8
6
Lattice="3.0379 0.0000 0.0000 0.0000 3.0663 0.0000 0.0000 0.0000 11.3121" Properties=species:S:1:pos:R:3 comment="CoIrPb PBE optimized geometry" total_magnetization_mub_per_cell=4.97 relative_energy_kj_per_mol_atoms=0.75 pbc="T T T"
Co 0.0000 0.0000 0.0000
Co 1.5189 1.5331 5.6561
Ir 0.0000 0.0000 7.0021
Ir 1.5189 1.5331 1.3460
Pb 0.0000 0.0000 3.5260
Pb 1.5189 1.5331 9.1821

***

# 9
8
Lattice="10.3134 0.0000 0.0000 0.0000 3.0838 0.0000 -1.6840 0.0000 4.9839" Properties=species:S:1:pos:R:3 comment="CoIrPb2 PBE optimized geometry" total_magnetization_mub_per_cell=3.37 relative_energy_kj_per_mol_atoms=19.71 pbc="T T T"
Co 0.0000 0.0000 0.0000
Co 5.1567 1.5419 0.0000
Ir 2.2106 0.0000 3.3716
Ir 7.3673 1.5419 3.3716
Pb -0.2380 1.5419 2.5318
Pb 2.4385 1.5419 0.6740
Pb 4.9187 0.0000 2.5318
Pb 7.5952 0.0000 0.6740

***

# 10
16
Lattice="6.0571 0.0000 0.0000 0.0000 6.0571 0.0000 0.0000 0.0000 11.9740" Properties=species:S:1:pos:R:3 comment="CoIrPb2 PBE optimized geometry" total_magnetization_mub_per_cell=3.05 relative_energy_kj_per_mol_atoms=62.85 pbc="T T T"
Co 0.0000 0.0000 0.0000
Co 0.0000 3.0285 2.9935
Co 3.0285 0.0000 8.9805
Co 3.0285 3.0285 5.9870
Ir 0.0000 0.0000 5.9870
Ir 0.0000 3.0285 8.9805
Ir 3.0285 0.0000 2.9935
Ir 3.0285 3.0285 0.0000
Pb 1.4316 1.5143 1.4967
Pb 1.5143 4.4601 4.4902
Pb 1.5143 4.6255 10.4772
Pb 1.5969 1.5143 7.4837
Pb 4.4601 4.5428 7.4837
Pb 4.5428 1.4316 10.4772
Pb 4.5428 1.5969 4.4902
Pb 4.6255 4.5428 1.4967

***

# 11
8
Lattice="4.0533 0.0000 0.0000 0.0000 4.0533 0.0000 0.0000 0.0000 7.6675" Properties=species:S:1:pos:R:3 comment="CoIr2Pb PBE optimized geometry" total_magnetization_mub_per_cell=2.41 final_energy_ev_per_atom=-6.6580 pbc="T T T"
Co 0.0000 0.0000 0.0000
Co 2.0266 2.0266 3.8337
Ir 0.0000 0.0000 3.8337
Ir 0.0000 2.0266 5.7506
Ir 2.0266 0.0000 1.9169
Ir 2.0266 2.0266 0.0000
Pb 0.0000 2.0266 1.9169
Pb 2.0266 0.0000 5.7506

***

# 12
4
Lattice="2.9857 0.0000 0.0000 0.0000 2.9857 0.0000 0.0000 0.0000 7.2796" Properties=species:S:1:pos:R:3 comment="CoIr2Pb PBE optimized geometry" total_magnetization_mub_per_cell=0.49 final_energy_ev_per_atom=-6.6643 pbc="T T T"
Co 0.0000 0.0000 0.0000
Ir 1.4928 1.4928 1.4260
Ir 1.4928 1.4928 5.8535
Pb 0.0000 0.0000 3.6398

***

Number 1: density of states at the Fermi level 9.7 states/eV/cell. Number 2: density of states at the Fermi level 6.8 states/eV/cell. Number 3: density of states at the Fermi level 10.6 states/eV/cell. Number 4: density of states at the Fermi level 26.6 states/eV/cell. Number 5: density of states at the Fermi level 7.5 states/eV/cell. Number 6: density of states at the Fermi level 13.9 states/eV/cell. Number 7: density of states at the Fermi level 18.8 states/eV/cell. Number 8: density of states at the Fermi level 7.2 states/eV/cell. Number 9: density of states at the Fermi level 10.3 states/eV/cell. Number 10: density of states at the Fermi level 20.2 states/eV/cell. Number 11: density of states at the Fermi level 10.4 states/eV/cell. Number 12: density of states at the Fermi level 5.2 states/eV/cell.